VASP calculation (PBE) on SrHgRh after structural relaxation.

Lattice parameters (Å, degrees): 4.973 4.973 4.973 60.00 60.00 60.00
Element x y z (fractional)
1 Hg 0.000 0.000 0.000
2 Rh 0.500 0.500 0.500
3 Sr 0.750 0.750 0.750

Results
- calculated volume (Å³ per cell) = 87.0
- density of states at the Fermi level (states/eV per atom) = 0.78
- total energy (eV/f.u.) = -8.085

VASP calculation (PBE) on LaGa4Ir2Ru after structural relaxation.

Lattice parameters (Å, degrees): 4.276 4.276 9.232 76.61 76.61 60.00
Element x y z (fractional)
1 La 0.000 0.000 0.000
2 Ga 0.404 0.404 0.787
3 Ga 0.867 0.867 0.399
4 Ga 0.133 0.133 0.601
5 Ga 0.596 0.596 0.213
6 Ir 0.765 0.765 0.705
7 Ir 0.235 0.235 0.295
8 Ru 0.500 0.500 0.500

Results
- calculated volume (Å³ per cell) = 140.9
- density of states at the Fermi level (states/eV per atom) = 0.44
- total energy (eV/f.u.) = -48.389

VASP calculation (PBE) on La4CdPd3 after structural relaxation.

Lattice parameters (Å, degrees): 3.980 4.764 11.471 90.00 90.00 90.00
Element x y z (fractional)
1 Cd 0.500 0.500 0.075
2 Pd 0.000 0.500 0.587
3 Pd 0.000 0.000 0.418
4 Pd 0.500 0.000 0.913
5 La 0.500 0.500 0.377
6 La 0.000 0.500 0.849
7 La 0.000 0.000 0.148
8 La 0.500 0.000 0.633

Results
- calculated volume (Å³ per cell) = 217.5
- density of states at the Fermi level (states/eV per atom) = 0.91
- total energy (eV/f.u.) = -41.493

VASP calculation (PBE) on Cr3NiP4 after structural relaxation.

Lattice parameters (Å, degrees): 3.080 5.329 5.968 89.94 90.00 90.00
Each line ends with the local moment (μB).
Element x y z (fractional)
1 Cr 0.000 0.008 0.809  0.04
2 Cr 0.500 0.493 0.294  1.15
3 Cr 0.500 0.994 0.198  0.77
4 Ni 0.000 0.506 0.696  0.07
5 P 0.000 0.694 0.067  -0.04
6 P 0.000 0.184 0.440  -0.04
7 P 0.500 0.307 0.932  -0.03
8 P 0.500 0.812 0.565  -0.02

Results
- calculated volume (Å³ per cell) = 97.9
- density of states at the Fermi level (states/eV per atom) = 0.62
- total energy (eV/f.u.) = -60.499

VASP calculation (PBE) on PmSm2Cu3 after structural relaxation.

Lattice parameters (Å, degrees): 3.546 3.546 10.700 90.00 90.00 90.00
Element x y z (fractional)
1 Pm 0.500 0.500 0.500
2 Sm 0.500 0.500 0.834
3 Sm 0.500 0.500 0.166
4 Cu 0.000 0.000 0.000
5 Cu 0.000 0.000 0.669
6 Cu 0.000 0.000 0.331

Results
- excess energy over the best structure of this formula in the dataset (meV per atom) = 0
- calculated volume (Å³ per cell) = 134.5
- density of states at the Fermi level (states/eV per atom) = 0.58

VASP calculation (PBE) on Nb3VAu after structural relaxation.

Lattice parameters (Å, degrees): 4.618 4.618 4.618 90.00 90.00 90.00
Element x y z (fractional)
1 Nb 0.000 0.500 0.000
2 Nb 0.000 0.000 0.500
3 Nb 0.500 0.000 0.000
4 Au 0.500 0.500 0.500
5 V 0.000 0.000 0.000

Results
- excess energy over the best structure of this formula in the dataset (meV per atom) = 0
- calculated volume (Å³ per cell) = 98.5
- density of states at the Fermi level (states/eV per atom) = 1.01

VASP calculation (PBE) on MnSnIrS after structural relaxation.

Lattice parameters (Å, degrees): 3.209 3.413 12.943 90.00 90.00 90.00
Each line ends with the local moment (μB).
Element x y z (fractional)
1 S 0.500 0.000 0.257  -0.04
2 S 0.500 0.500 0.757  -0.04
3 Ir 0.500 0.000 0.619  0.00
4 Ir 0.500 0.500 0.119  0.00
5 Sn 0.000 0.000 0.000  -0.03
6 Sn 0.000 0.500 0.500  -0.03
7 Mn 0.000 0.000 0.791  3.21
8 Mn 0.000 0.500 0.291  3.21

Results
- excess energy over the best structure of this formula in the dataset (meV per atom) = 84
- calculated volume (Å³ per cell) = 141.8
- ΔE_f (raw) (eV per formula unit) = -0.45
- density of states at the Fermi level (states/eV per atom) = 0.58

VASP calculation (PBE) on Ba2CaNi after structural relaxation.

Lattice parameters (Å, degrees): 5.795 5.795 5.795 60.00 60.00 60.00
Element x y z (fractional)
1 Ni 0.750 0.750 0.750
2 Ca 0.500 0.500 0.500
3 Ba 0.000 0.000 0.000
4 Ba 0.250 0.250 0.250

Results
- excess energy over the best structure of this formula in the dataset (meV per atom) = 338
- calculated volume (Å³ per cell) = 137.6
- density of states at the Fermi level (states/eV per atom) = 1.34

VASP calculation (PBE) on Ac2CdBr after structural relaxation.

Lattice parameters (Å, degrees): 3.884 3.884 8.859 90.00 90.00 90.00
Element x y z (fractional)
1 Ac 0.000 0.000 0.764
2 Ac 0.000 0.000 0.236
3 Br 0.500 0.500 0.500
4 Cd 0.500 0.500 0.000

Results
- excess energy over the best structure of this formula in the dataset (meV per atom) = 28
- calculated volume (Å³ per cell) = 133.6
- ΔE_f (raw) (eV per formula unit) = -2.66
- density of states at the Fermi level (states/eV per atom) = 1.01

VASP calculation (PBE) on CePrSb2 after structural relaxation.

Lattice parameters (Å, degrees): 3.375 5.845 5.845 90.00 90.00 90.00
Each line ends with the local moment (μB).
Element x y z (fractional)
1 Pr 0.500 0.000 0.000  0.06
2 Sb 0.000 0.000 0.500  -0.02
3 Sb 0.000 0.500 0.000  -0.02
4 Ce 0.500 0.500 0.500  0.89

Results
- excess energy over the best structure of this formula in the dataset (meV per atom) = 226
- calculated volume (Å³ per cell) = 115.3
- ΔE_f (raw) (eV per formula unit) = -3.59
- density of states at the Fermi level (states/eV per atom) = 1.70

VASP calculation (PBE) on ErNpNi10 after structural relaxation.

Lattice parameters (Å, degrees): 3.961 4.852 8.403 90.00 90.00 90.00
Each line ends with the local moment (μB).
Element x y z (fractional)
1 Er 0.000 0.000 0.000  0.13
2 Np 0.000 0.500 0.500  3.39
3 Ni 0.000 0.000 0.335  -0.36
4 Ni 0.000 0.500 0.829  -0.32
5 Ni 0.000 0.500 0.171  -0.32
6 Ni 0.000 0.000 0.665  -0.36
7 Ni 0.500 0.000 0.500  -0.41
8 Ni 0.500 0.500 0.000  -0.40
9 Ni 0.500 0.251 0.251  -0.40
10 Ni 0.500 0.749 0.749  -0.40
11 Ni 0.500 0.749 0.251  -0.40
12 Ni 0.500 0.251 0.749  -0.40

Results
- calculated volume (Å³ per cell) = 161.5
- density of states at the Fermi level (states/eV per atom) = 1.61
- total energy (eV/f.u.) = -78.129

VASP calculation (PBE) on AsH2Br6 after structural relaxation.

Lattice parameters (Å, degrees): 11.899 11.899 6.002 75.18 75.18 71.55
Each line ends with the local moment (μB).
Element x y z (fractional)
1 As 0.771 0.229 0.250  0.13
2 As 0.229 0.771 0.750  0.13
3 H 0.285 0.242 0.702  0.00
4 H 0.758 0.715 0.798  0.00
5 H 0.715 0.758 0.298  0.00
6 H 0.242 0.285 0.202  0.00
7 Br 0.174 0.350 0.391  0.01
8 Br 0.650 0.826 0.109  0.01
9 Br 0.826 0.650 0.609  0.01
10 Br 0.350 0.174 0.891  0.01
11 Br 0.255 0.595 0.594  0.16
12 Br 0.405 0.745 0.906  0.16
13 Br 0.745 0.405 0.406  0.16
14 Br 0.595 0.255 0.094  0.16
15 Br 0.207 0.949 0.447  0.16
16 Br 0.051 0.793 0.053  0.16
17 Br 0.793 0.051 0.553  0.16
18 Br 0.949 0.207 0.947  0.16

Results
- calculated volume (Å³ per cell) = 765.1
- density of states at the Fermi level (states/eV per atom) = 0.21
- total energy (eV/f.u.) = -23.672